VASP calculation (PBE) on an optimized crystal structure of Li3LaSb2.

a = 16.716 Å, b = 4.476 Å, c = 8.318 Å
α = 90.00°, β = 115.75°, γ = 90.00°
Space group C2/m (No. 12)
Unique sites:
1 Li 0.062 0.000 0.414 x4
2 Li 0.101 0.500 0.662 x4
3 Li 0.197 0.500 0.484 x4
4 La 0.131 0.000 0.044 x4
5 Sb 0.026 0.500 0.220 x4
6 Sb 0.213 0.000 0.735 x4

Results
VASP energy (eV per atom): -3.934
Volume (Å³ per cell): 561
Formation energy (no corrections) (eV/atom): -0.78



VASP calculation (PBE) on an optimized crystal structure of TeIrAu2.

a = 3.020 Å, b = 5.158 Å, c = 10.136 Å
α = 90.00°, β = 90.00°, γ = 90.00°
Space group Cmm2 (No. 35)
Unique sites:
1 Te 0.000 0.000 0.000 x2
2 Ir 0.000 0.500 0.218 x2
3 Au 0.000 0.000 0.450 x2
4 Au 0.000 0.500 0.692 x2

Results
VASP energy (eV per atom): -4.232
Volume (Å³ per cell): 158
Formation energy (no corrections) (eV/atom): 0.41



VASP calculation (PBE) on an optimized crystal structure of Li2HgOs.

a = 2.869 Å, b = 2.869 Å, c = 7.437 Å
α = 90.00°, β = 90.00°, γ = 90.00°
Space group P4mm (No. 99)
Unique sites:
1 Li 0.000 0.000 0.000 x1
2 Li 0.500 0.500 0.234 x1
3 Hg 0.500 0.500 0.755 x1
4 Os 0.000 0.000 0.457 x1

Results
VASP energy (eV per atom): -3.460
Volume (Å³ per cell): 61
Energy relative to the elements (meV per atom): 379.7



> Among the records above, which one has the lowest volume?

Li2HgOs